Entry 1:
Entry from the Alexandria database: a relaxed Sm2PuBi2N2 crystal (PBE-GGA).

The structure in extended XYZ format:
```
7
Lattice="-2.3734 1.7101 3.2609 0.1474 -3.8324 2.1170 7.9870 3.4091 1.0829" Properties=species:S:1:pos:R:3 pbc="T T T"
Bi 2.7010 0.9226 1.4821
Bi 3.0599 0.3642 4.9787
N 0.0737 -1.9162 1.0585
N -1.1867 0.8550 1.6304
Sm 0.2933 -0.5808 3.4606
Sm 5.4676 1.8676 3.0002
Pu 0.0000 0.0000 0.0000
```

Entry 2:
Entry from the Alexandria database: a relaxed PuSnBi2N crystal (PBE-GGA).

The structure in extended XYZ format:
```
10
Lattice="3.9281 0.0000 0.0000 0.0000 3.9281 0.0000 0.0000 0.0000 17.7806" Properties=species:S:1:pos:R:3 pbc="T T T"
N 1.9641 1.9641 8.8903
N 0.0000 0.0000 8.8903
Pu 1.9641 0.0000 9.9647
Pu 0.0000 1.9641 7.8159
Sn 0.0000 1.9641 15.0821
Sn 1.9641 0.0000 2.6985
Bi 1.9641 0.0000 5.6841
Bi 1.9641 0.0000 16.5580
Bi 0.0000 1.9641 1.2226
Bi 0.0000 1.9641 12.0965
```

The records above yield uncorrected formation energy values of -0.870; -0.430 eV/atom, respectively.
The records above yield magnetic moment values of 0.485; 0.860 μB per atom, respectively.